{
  "formula": "Ba7GeBi2O2",
  "functional": "PBE-GGA",
  "state": "optimized geometry",
  "lattice_angstrom": [[-2.706, 2.706, 14.702], [2.706, -2.706, 14.702], [2.706, 2.706, -14.702]],
  "species": ["Ba", "Ba", "Ba", "Ba", "Ba", "Ba", "Ba", "Ge", "Bi", "Bi", "O", "O"],
  "frac_coords": [[0.000, 0.000, 0.000], [0.092, 0.592, 0.500], [0.199, 0.199, 0.000], [0.408, 0.908, 0.500], [0.592, 0.092, 0.500], [0.801, 0.801, 0.000], [0.908, 0.408, 0.500], [0.500, 0.500, 0.000], [0.321, 0.321, 0.000], [0.679, 0.679, 0.000], [0.094, 0.094, 0.000], [0.906, 0.906, 0.000]],
  "spacegroup": "I4/mmm",
  "dos_at_fermi_per_ev_fu": 0.564,
  "e_form_raw_ev_per_atom": -1.3497
}

=====

{
  "formula": "ScNbPd",
  "functional": "PBE-GGA",
  "state": "optimized geometry",
  "lattice_angstrom": [[6.894, -1.665, 0.000], [6.894, 1.665, 0.000], [-0.523, 0.000, 4.825]],
  "species": ["Sc", "Sc", "Nb", "Nb", "Pd", "Pd"],
  "frac_coords": [[0.000, 0.000, 0.000], [0.168, 0.168, 0.557], [0.485, 0.485, 0.492], [0.841, 0.841, 0.439], [0.335, 0.335, 0.944], [0.662, 0.662, 0.053]],
  "spacegroup": "Cm",
  "e_above_lowest_polymorph_ev_per_atom": 0.1439,
  "dos_at_fermi_per_ev_fu": 2.516
}

=====

{
  "formula": "Th12Tc3H5",
  "functional": "PBE-GGA",
  "state": "optimized geometry",
  "lattice_angstrom": [[-7.743, 7.743, 7.743], [7.743, -7.743, 7.743], [7.743, 7.743, -7.743]],
  "species": ["Th", "Th", "Th", "Th", "Th", "Th", "Th", "Th", "Th", "Th", "Th", "Th", "Th", "Th", "Th", "Th", "Th", "Th", "Th", "Th", "Th", "Th", "Th", "Th", "Th", "Th", "Th", "Th", "Th", "Th", "Th", "Th", "Th", "Th", "Th", "Th", "Th", "Th", "Th", "Th", "Th", "Th", "Th", "Th", "Th", "Th", "Th", "Th", "Tc", "Tc", "Tc", "Tc", "Tc", "Tc", "Tc", "Tc", "Tc", "Tc", "Tc", "Tc", "H", "H", "H", "H", "H", "H", "H", "H", "H", "H", "H", "H", "H", "H", "H", "H", "H", "H", "H", "H"],
  "frac_coords": [[0.030, 0.217, 0.118], [0.030, 0.313, 0.912], [0.088, 0.618, 0.401], [0.088, 0.970, 0.687], [0.099, 0.717, 0.687], [0.099, 0.882, 0.412], [0.118, 0.030, 0.217], [0.118, 0.588, 0.901], [0.187, 0.217, 0.599], [0.187, 0.470, 0.588], [0.217, 0.118, 0.030], [0.217, 0.599, 0.187], [0.283, 0.313, 0.901], [0.283, 0.470, 0.382], [0.313, 0.901, 0.283], [0.313, 0.912, 0.030], [0.382, 0.283, 0.470], [0.382, 0.599, 0.912], [0.401, 0.088, 0.618], [0.401, 0.813, 0.783], [0.412, 0.099, 0.882], [0.412, 0.813, 0.530], [0.470, 0.382, 0.283], [0.470, 0.588, 0.187], [0.530, 0.412, 0.813], [0.530, 0.618, 0.717], [0.588, 0.187, 0.470], [0.588, 0.901, 0.118], [0.599, 0.187, 0.217], [0.599, 0.912, 0.382], [0.618, 0.401, 0.088], [0.618, 0.717, 0.530], [0.687, 0.088, 0.970], [0.687, 0.099, 0.717], [0.717, 0.530, 0.618], [0.717, 0.687, 0.099], [0.783, 0.401, 0.813], [0.783, 0.882, 0.970], [0.813, 0.530, 0.412], [0.813, 0.783, 0.401], [0.882, 0.412, 0.099], [0.882, 0.970, 0.783], [0.901, 0.118, 0.588], [0.901, 0.283, 0.313], [0.912, 0.030, 0.313], [0.912, 0.382, 0.599], [0.970, 0.687, 0.088], [0.970, 0.783, 0.882], [0.125, 0.250, 0.375], [0.125, 0.375, 0.750], [0.250, 0.375, 0.125], [0.250, 0.875, 0.625], [0.375, 0.125, 0.250], [0.375, 0.750, 0.125], [0.625, 0.250, 0.875], [0.625, 0.875, 0.750], [0.750, 0.125, 0.375], [0.750, 0.625, 0.875], [0.875, 0.625, 0.250], [0.875, 0.750, 0.625], [0.000, 0.000, 0.000], [0.000, 0.000, 0.500], [0.000, 0.500, 0.000], [0.000, 0.500, 0.500], [0.125, 0.750, 0.875], [0.125, 0.875, 0.250], [0.250, 0.125, 0.875], [0.250, 0.625, 0.375], [0.375, 0.250, 0.625], [0.375, 0.625, 0.750], [0.500, 0.000, 0.000], [0.500, 0.000, 0.500], [0.500, 0.500, 0.000], [0.500, 0.500, 0.500], [0.625, 0.375, 0.250], [0.625, 0.750, 0.375], [0.750, 0.375, 0.625], [0.750, 0.875, 0.125], [0.875, 0.125, 0.750], [0.875, 0.250, 0.125]],
  "spacegroup": "Ia-3d",
  "dos_at_fermi_per_ev_fu": 22.461
}

=====

{
  "formula": "HoPbO",
  "functional": "PBE-GGA",
  "state": "optimized geometry",
  "lattice_angstrom": [[3.503, -6.399, 0.000], [3.503, 6.399, 0.000], [0.000, 0.000, 3.413]],
  "species": ["Ho", "Ho", "Pb", "Pb", "O", "O"],
  "frac_coords": [[0.000, 0.000, 0.000], [0.500, 0.500, 0.500], [0.229, 0.771, 0.500], [0.771, 0.229, 0.500], [0.301, 0.301, 0.000], [0.699, 0.699, 0.000]],
  "spacegroup": "Cmmm",
  "dos_at_fermi_per_ev_fu": 1.338,
  "e_form_raw_ev_per_atom": -1.7167
}

=====

{
  "formula": "Hf4BeC2",
  "functional": "PBE-GGA",
  "state": "optimized geometry",
  "lattice_angstrom": [[1.670, -5.498, 0.000], [1.670, 5.498, 0.000], [0.000, 0.000, 11.531]],
  "species": ["Hf", "Hf", "Hf", "Hf", "Hf", "Hf", "Hf", "Hf", "Be", "Be", "C", "C", "C", "C"],
  "frac_coords": [[0.000, 0.000, 0.000], [0.000, 0.000, 0.500], [0.265, 0.735, 0.612], [0.265, 0.735, 0.888], [0.436, 0.564, 0.250], [0.564, 0.436, 0.750], [0.735, 0.265, 0.112], [0.735, 0.265, 0.388], [0.112, 0.888, 0.250], [0.888, 0.112, 0.750], [0.364, 0.636, 0.060], [0.364, 0.636, 0.440], [0.636, 0.364, 0.560], [0.636, 0.364, 0.940]],
  "spacegroup": "Cmcm",
  "dos_at_fermi_per_ev_fu": 2.641
}

=====

{
  "formula": "Rb3Mg2GeBr9",
  "functional": "PBE-GGA",
  "state": "optimized geometry",
  "lattice_angstrom": [[7.715, 0.000, 0.000], [-3.858, 6.682, 0.000], [0.000, 0.000, 9.457]],
  "species": ["Rb", "Rb", "Rb", "Mg", "Mg", "Ge", "Br", "Br", "Br", "Br", "Br", "Br", "Br", "Br", "Br"],
  "frac_coords": [[0.000, 0.000, 0.000], [0.333, 0.667, 0.666], [0.667, 0.333, 0.334], [0.333, 0.667, 0.161], [0.667, 0.333, 0.839], [0.000, 0.000, 0.500], [0.000, 0.500, 0.000], [0.170, 0.340, 0.329], [0.170, 0.830, 0.329], [0.340, 0.170, 0.671], [0.500, 0.000, 0.000], [0.500, 0.500, 0.000], [0.660, 0.830, 0.329], [0.830, 0.170, 0.671], [0.830, 0.660, 0.671]],
  "spacegroup": "P-3m1",
  "dos_at_fermi_per_ev_fu": 0.000,
  "e_form_raw_ev_per_atom": -1.3871
}

=====

{
  "formula": "Hf4SbTe5",
  "functional": "PBE-GGA",
  "state": "optimized geometry",
  "lattice_angstrom": [[8.794, -1.994, 0.000], [8.794, 1.994, 0.000], [-1.607, 0.000, 8.161]],
  "species": ["Hf", "Hf", "Hf", "Hf", "Sb", "Te", "Te", "Te", "Te", "Te"],
  "frac_coords": [[0.002, 0.002, 0.241], [0.331, 0.331, 0.930], [0.669, 0.669, 0.070], [0.998, 0.998, 0.759], [0.500, 0.500, 0.000], [0.167, 0.167, 0.325], [0.168, 0.168, 0.809], [0.500, 0.500, 0.500], [0.832, 0.832, 0.191], [0.833, 0.833, 0.675]],
  "spacegroup": "C2/m",
  "dos_at_fermi_per_ev_fu": 5.053,
  "e_form_raw_ev_per_atom": -0.6437
}

=====

{
  "formula": "PuMgAs2",
  "functional": "PBE-GGA",
  "state": "optimized geometry",
  "lattice_angstrom": [[4.663, 0.000, 0.000], [0.000, 4.663, 0.000], [0.000, 0.000, 3.777]],
  "species": ["Pu", "Mg", "As", "As"],
  "frac_coords": [[0.000, 0.000, 0.000], [0.500, 0.500, 0.000], [0.000, 0.500, 0.500], [0.500, 0.000, 0.500]],
  "spacegroup": "P4/mmm",
  "e_above_lowest_polymorph_ev_per_atom": 0.0658,
  "dos_at_fermi_per_ev_fu": 9.912
}

=====

{
  "formula": "KMgCdBi2",
  "functional": "PBE-GGA",
  "state": "optimized geometry",
  "lattice_angstrom": [[5.505, 0.000, 0.000], [0.000, 5.505, 0.000], [0.000, 0.000, 6.606]],
  "species": ["K", "Mg", "Cd", "Bi", "Bi"],
  "frac_coords": [[0.000, 0.000, 0.000], [0.000, 0.000, 0.500], [0.500, 0.500, 0.000], [0.000, 0.500, 0.500], [0.500, 0.000, 0.500]],
  "spacegroup": "P4/mmm",
  "e_above_lowest_polymorph_ev_per_atom": 0.4953,
  "dos_at_fermi_per_ev_fu": 3.405
}

=====

{
  "formula": "Cd2HOsRh",
  "functional": "PBE-GGA",
  "state": "optimized geometry",
  "lattice_angstrom": [[4.534, 0.000, 0.000], [0.000, 4.534, 0.000], [0.000, 0.000, 3.478]],
  "species": ["Cd", "Cd", "H", "Os", "Rh"],
  "frac_coords": [[0.000, 0.500, 0.000], [0.500, 0.000, 0.000], [0.000, 0.000, 0.000], [0.000, 0.000, 0.500], [0.500, 0.500, 0.500]],
  "spacegroup": "P4/mmm",
  "dos_at_fermi_per_ev_fu": 3.977
}

=====

{
  "formula": "NbPd",
  "functional": "PBE-GGA",
  "state": "optimized geometry",
  "lattice_angstrom": [[2.878, 0.000, 0.000], [-1.439, 2.493, 0.000], [0.000, 0.000, 4.628]],
  "species": ["Nb", "Pd"],
  "frac_coords": [[0.000, 0.000, 0.000], [0.667, 0.333, 0.500]],
  "spacegroup": "P-6m2",
  "dos_at_fermi_per_ev_fu": 1.144
}

=====

{
  "formula": "ThAl2SiPt4",
  "functional": "PBE-GGA",
  "state": "optimized geometry",
  "lattice_angstrom": [[2.152, 1.242, 8.719], [-2.152, 1.242, 8.719], [0.000, -2.485, 8.719]],
  "species": ["Th", "Al", "Al", "Si", "Pt", "Pt", "Pt", "Pt"],
  "frac_coords": [[0.000, 0.000, 0.000], [0.242, 0.242, 0.242], [0.758, 0.758, 0.758], [0.500, 0.500, 0.500], [0.138, 0.138, 0.138], [0.404, 0.404, 0.404], [0.596, 0.596, 0.596], [0.862, 0.862, 0.862]],
  "spacegroup": "R-3m",
  "dos_at_fermi_per_ev_fu": 4.453,
  "e_form_raw_ev_per_atom": -0.9606
}

=====

{
  "formula": "Sn3HgCl",
  "functional": "PBE-GGA",
  "state": "optimized geometry",
  "lattice_angstrom": [[5.660, 0.000, 0.000], [0.000, 5.660, 0.000], [0.000, 0.000, 5.660]],
  "species": ["Sn", "Sn", "Sn", "Hg", "Cl"],
  "frac_coords": [[0.000, 0.000, 0.500], [0.000, 0.500, 0.000], [0.500, 0.000, 0.000], [0.000, 0.000, 0.000], [0.500, 0.500, 0.500]],
  "spacegroup": "Pm-3m",
  "e_above_lowest_polymorph_ev_per_atom": 0.0248,
  "dos_at_fermi_per_ev_fu": 8.335,
  "e_form_raw_ev_per_atom": 0.4319
}

=====

{
  "formula": "Dy6Pd8Pt",
  "functional": "PBE-GGA",
  "state": "optimized geometry",
  "lattice_angstrom": [[4.078, 2.354, 5.767], [-4.078, 2.354, 5.767], [0.000, -4.708, 5.767]],
  "species": ["Dy", "Dy", "Dy", "Dy", "Dy", "Dy", "Pd", "Pd", "Pd", "Pd", "Pd", "Pd", "Pd", "Pd", "Pt"],
  "frac_coords": [[0.117, 0.371, 0.812], [0.188, 0.883, 0.629], [0.371, 0.812, 0.117], [0.629, 0.188, 0.883], [0.812, 0.117, 0.371], [0.883, 0.629, 0.188], [0.059, 0.683, 0.440], [0.206, 0.206, 0.206], [0.317, 0.560, 0.941], [0.440, 0.059, 0.683], [0.560, 0.941, 0.317], [0.683, 0.440, 0.059], [0.794, 0.794, 0.794], [0.941, 0.317, 0.560], [0.500, 0.500, 0.500]],
  "spacegroup": "R-3",
  "dos_at_fermi_per_ev_fu": 6.789
}

=====

{
  "formula": "ScSn2Au",
  "functional": "PBE-GGA",
  "state": "optimized geometry",
  "lattice_angstrom": [[-3.981, 3.981, 3.021], [3.981, -3.981, 3.021], [3.981, 3.981, -3.021]],
  "species": ["Sc", "Sc", "Sn", "Sn", "Sn", "Sn", "Au", "Au"],
  "frac_coords": [[0.000, 0.000, 0.000], [0.750, 0.250, 0.500], [0.156, 0.125, 0.531], [0.375, 0.844, 0.969], [0.594, 0.625, 0.469], [0.875, 0.406, 0.031], [0.250, 0.750, 0.500], [0.500, 0.500, 0.000]],
  "spacegroup": "I-42d",
  "e_above_lowest_polymorph_ev_per_atom": 0.1720,
  "dos_at_fermi_per_ev_fu": 2.495
}

=====

{
  "formula": "PrGe3Ru2",
  "functional": "PBE-GGA",
  "state": "optimized geometry",
  "lattice_angstrom": [[4.880, -3.883, 0.000], [4.880, 3.883, 0.000], [0.000, 0.000, 5.779]],
  "species": ["Pr", "Pr", "Ge", "Ge", "Ge", "Ge", "Ge", "Ge", "Ru", "Ru", "Ru", "Ru"],
  "frac_coords": [[0.155, 0.845, 0.750], [0.845, 0.155, 0.250], [0.037, 0.616, 0.250], [0.384, 0.963, 0.250], [0.459, 0.541, 0.250], [0.541, 0.459, 0.750], [0.616, 0.037, 0.750], [0.963, 0.384, 0.750], [0.294, 0.294, 0.000], [0.294, 0.294, 0.500], [0.706, 0.706, 0.000], [0.706, 0.706, 0.500]],
  "spacegroup": "Cmcm",
  "dos_at_fermi_per_ev_fu": 2.489
}

=====

{
  "formula": "Mg2MoRh2",
  "functional": "PBE-GGA",
  "state": "optimized geometry",
  "lattice_angstrom": [[7.218, 0.000, 0.000], [0.000, 7.218, 0.000], [0.000, 0.000, 3.057]],
  "species": ["Mg", "Mg", "Mg", "Mg", "Mo", "Mo", "Rh", "Rh", "Rh", "Rh"],
  "frac_coords": [[0.147, 0.353, 0.000], [0.353, 0.853, 0.000], [0.647, 0.147, 0.000], [0.853, 0.647, 0.000], [0.000, 0.000, 0.500], [0.500, 0.500, 0.500], [0.153, 0.653, 0.500], [0.347, 0.153, 0.500], [0.653, 0.847, 0.500], [0.847, 0.347, 0.500]],
  "spacegroup": "P4/mbm",
  "dos_at_fermi_per_ev_fu": 4.781
}

=====

{
  "formula": "LaHoAgPt",
  "functional": "PBE-GGA",
  "state": "optimized geometry",
  "lattice_angstrom": [[0.000, 3.641, 3.641], [3.641, 0.000, 3.641], [3.641, 3.641, 0.000]],
  "species": ["La", "Ho", "Ag", "Pt"],
  "frac_coords": [[0.000, 0.000, 0.000], [0.500, 0.500, 0.500], [0.250, 0.250, 0.250], [0.750, 0.750, 0.750]],
  "spacegroup": "F-43m",
  "dos_at_fermi_per_ev_fu": 1.899
}

=====

{
  "formula": "MgRh2PbO6",
  "functional": "PBE-GGA",
  "state": "optimized geometry",
  "lattice_angstrom": [[2.713, 1.566, 4.601], [-2.713, 1.566, 4.601], [0.000, -3.132, 4.601]],
  "species": ["Mg", "Rh", "Rh", "Pb", "O", "O", "O", "O", "O", "O"],
  "frac_coords": [[0.000, 0.000, 0.000], [0.294, 0.294, 0.294], [0.788, 0.788, 0.788], [0.512, 0.512, 0.512], [0.076, 0.680, 0.405], [0.152, 0.590, 0.930], [0.405, 0.076, 0.680], [0.590, 0.930, 0.152], [0.680, 0.405, 0.076], [0.930, 0.152, 0.590]],
  "spacegroup": "R3",
  "dos_at_fermi_per_ev_fu": 0.236,
  "e_form_raw_ev_per_atom": -1.1519
}

=====

{
  "formula": "SrNi2Au",
  "functional": "PBE-GGA",
  "state": "optimized geometry",
  "lattice_angstrom": [[0.000, 3.350, 3.350], [3.350, 0.000, 3.350], [3.350, 3.350, 0.000]],
  "species": ["Sr", "Ni", "Ni", "Au"],
  "frac_coords": [[0.000, 0.000, 0.000], [0.250, 0.250, 0.250], [0.500, 0.500, 0.500], [0.750, 0.750, 0.750]],
  "spacegroup": "F-43m",
  "dos_at_fermi_per_ev_fu": 4.484
}

=====

Total energy across the listed records, respectively: -52.0; -45.1; -553.9; -36.8; -132.3; -46.6; -66.1; -27.7; -10.3; -21.6; -15.6; -52.2; -12.0; -86.1; -37.4; -79.7; -57.3; -21.2; -61.3; -15.5 eV for the cell shown.